[1]
This record from the Alexandria database describes crystalline KNaH2 at its relaxed geometry. The functional is PBE.

POSCAR file:
```
KNaH2
1.0
4.250 0.000 0.000
0.000 4.250 0.000
0.000 0.000 8.396
K Na H
2 2 4
Cartesian
1.063 1.063 1.430
3.188 3.188 6.966
1.063 1.063 4.931
3.188 3.188 3.465
1.063 1.063 7.158
1.063 3.188 4.198
3.188 1.063 4.198
3.188 3.188 1.238
```


[2]
This record from the Alexandria database describes crystalline K2NaH at its relaxed geometry. The functional is PBE.

POSCAR file:
```
K2NaH
1.0
2.027 1.170 10.309
-2.027 1.170 10.309
0.000 -2.340 10.309
K Na H
2 1 1
Cartesian
0.000 0.000 6.830
0.000 0.000 24.096
0.000 0.000 0.000
0.000 0.000 15.463
```


[3]
This record from the Alexandria database describes crystalline K3Na12H5 at its relaxed geometry. The functional is PBE.

POSCAR file:
```
K3Na12H5
1.0
-8.678 8.678 8.678
8.678 -8.678 8.678
8.678 8.678 -8.678
K Na H
12 48 20
Cartesian
4.339 2.170 0.000
8.678 4.339 -2.170
2.170 0.000 4.339
10.848 0.000 4.339
0.000 4.339 2.170
4.339 -2.170 8.678
4.339 10.848 0.000
8.678 4.339 6.509
-2.170 8.678 4.339
6.509 8.678 4.339
0.000 4.339 10.848
4.339 6.509 8.678
6.790 -4.911 5.425
14.905 1.086 -0.572
12.445 3.253 -1.888
9.250 -6.227 7.592
11.130 1.086 0.572
10.566 -3.767 5.425
5.425 6.790 -4.911
7.592 -0.572 2.451
7.592 9.250 -6.227
5.425 -1.888 4.911
4.911 5.425 -1.888
8.106 2.451 1.086
13.589 3.253 1.888
8.106 -2.451 7.592
7.592 8.106 -2.451
5.425 1.888 3.767
5.425 10.566 -3.767
7.592 0.572 6.227
2.451 7.592 -0.572
10.566 3.767 3.253
3.767 5.425 1.888
9.250 6.227 1.086
6.227 7.592 0.572
6.790 4.911 3.253
1.888 3.767 5.425
2.451 1.086 8.106
-0.572 2.451 7.592
4.911 3.253 6.790
-1.888 4.911 5.425
6.227 1.086 9.250
1.086 8.106 2.451
3.253 -1.888 12.445
3.253 6.790 4.911
1.086 0.572 11.130
0.572 11.130 1.086
-4.911 5.425 6.790
0.572 6.227 7.592
3.767 3.253 10.566
3.253 10.566 3.767
1.086 -0.572 14.905
1.086 9.250 6.227
3.253 1.888 13.589
-1.888 12.445 3.253
-2.451 7.592 8.106
-0.572 14.905 1.086
-3.767 5.425 10.566
-6.227 7.592 9.250
1.888 13.589 3.253
0.000 0.000 0.000
4.339 4.339 -4.339
4.339 -4.339 4.339
8.678 0.000 0.000
13.017 2.170 0.000
8.678 -4.339 6.509
6.509 8.678 -4.339
6.509 0.000 4.339
4.339 6.509 0.000
8.678 4.339 2.170
-4.339 4.339 4.339
0.000 8.678 0.000
0.000 0.000 8.678
4.339 4.339 4.339
0.000 4.339 6.509
4.339 2.170 8.678
2.170 8.678 4.339
2.170 0.000 13.017
0.000 13.017 2.170
-4.339 6.509 8.678
```


[4]
This record from the Alexandria database describes crystalline KNaH2 at its relaxed geometry. The functional is PBE.

POSCAR file:
```
KNaH2
1.0
-3.170 3.170 3.953
3.170 -3.170 3.953
3.170 3.170 -3.953
K Na H
2 2 4
Cartesian
0.000 0.000 0.000
0.000 3.170 1.977
3.170 0.000 1.977
0.000 0.000 3.953
1.585 -1.248 2.965
1.922 1.585 0.988
1.585 4.418 -0.988
1.248 1.585 4.942
```


[5]
This record from the Alexandria database describes crystalline KNaH at its relaxed geometry. The functional is PBE.

POSCAR file:
```
KNaH
1.0
3.803 0.000 0.000
-1.902 3.294 0.000
0.000 0.000 6.786
K Na H
1 1 1
Cartesian
0.000 0.000 0.000
0.000 2.196 3.149
1.902 1.098 1.669
```


[6]
This record from the Alexandria database describes crystalline K2NaH3 at its relaxed geometry. The functional is PBE.

POSCAR file:
```
K2NaH3
1.0
5.327 -3.562 0.000
5.327 3.562 0.000
0.000 0.000 6.354
K Na H
4 2 6
Cartesian
1.819 1.185 1.588
1.819 -1.185 4.765
8.835 1.185 1.588
8.835 -1.185 4.765
5.327 0.705 1.588
5.327 -0.705 4.765
5.327 2.845 1.588
3.699 0.000 0.000
3.699 0.000 3.177
6.955 0.000 0.000
6.955 0.000 3.177
5.327 -2.845 4.765
```


[7]
This record from the Alexandria database describes crystalline KNaH at its relaxed geometry. The functional is PBE.

POSCAR file:
```
KNaH
1.0
2.915 -2.911 0.000
2.915 2.911 0.000
-0.008 0.000 9.615
K Na H
2 2 2
Cartesian
1.451 0.000 3.415
4.372 0.000 6.201
1.453 0.000 8.626
4.370 0.000 0.989
1.458 0.000 6.208
4.365 0.000 3.407
```


[8]
This record from the Alexandria database describes crystalline K2Na3H5 at its relaxed geometry. The functional is PBE.

POSCAR file:
```
K2Na3H5
1.0
6.292 -1.834 0.000
6.292 1.834 0.000
-5.152 0.000 7.465
K Na H
2 3 5
Cartesian
0.839 0.000 1.994
6.592 0.000 5.470
-2.576 0.000 3.732
4.234 0.000 0.944
3.197 0.000 6.520
-1.829 0.000 6.086
2.180 0.000 4.378
6.292 0.000 0.000
5.251 0.000 3.086
9.260 0.000 1.378
```


Raw total energy across the listed records, respectively: -2.451 -1.753 -1.656 -2.440 -1.931 -2.414 -2.017 -2.483 eV/atom.